(1)
# La2RuO5 PBEsol optimized geometry
data_La2RuO5
_chemical_formula_sum 'La8 Ru4 O20'
_space_group_name_H-M_alt 'P 1 21/c 1'
_space_group_IT_number 14
_space_group_name_Hall '-P 2ybc'
_cell_length_a 9.105
_cell_length_b 5.805
_cell_length_c 7.847
_cell_angle_alpha 90.00
_cell_angle_beta 100.42
_cell_angle_gamma 90.00
loop_
_atom_site_label
_atom_site_fract_x
_atom_site_fract_y
_atom_site_fract_z
La1 0.053 0.241 0.378
La2 0.327 0.749 0.464
Ru1 0.353 0.247 0.211
O1 0.076 0.662 0.899
O2 0.185 0.036 0.126
O3 0.224 0.513 0.224
O4 0.353 0.168 0.462
O5 0.477 0.540 0.707
# final energy	-270.9	eV for the cell shown
# raw formation energy	-248.6	kJ per mole of atoms

***

(2)
# La4Ru6O19 PBEsol optimized geometry
data_La4Ru6O19
_chemical_formula_sum 'La8 Ru12 O38'
_space_group_name_H-M_alt 'I 2 3'
_space_group_IT_number 197
_space_group_name_Hall 'I 2 2 3'
_cell_length_a 8.951
_cell_length_b 8.951
_cell_length_c 8.951
_cell_angle_alpha 90.00
_cell_angle_beta 90.00
_cell_angle_gamma 90.00
loop_
_atom_site_label
_atom_site_fract_x
_atom_site_fract_y
_atom_site_fract_z
La1 0.161 0.161 0.161
Ru1 0.000 0.363 0.500
O1 0.000 0.000 0.000
O2 0.000 0.000 0.326
O3 0.017 0.343 0.716
# final energy	-476.7	eV for the cell shown
# raw formation energy	-186.9	kJ per mole of atoms

***

(3)
# La8Ru4O21 PBEsol optimized geometry
data_La8Ru4O21
_chemical_formula_sum 'La16 Ru8 O42'
_space_group_name_H-M_alt 'P 63 c m'
_space_group_IT_number 185
_space_group_name_Hall 'P 6c -2'
_cell_length_a 9.8031
_cell_length_b 9.8031
_cell_length_c 10.7249
_cell_angle_alpha 90.00
_cell_angle_beta 90.00
_cell_angle_gamma 120.00
loop_
_atom_site_label
_atom_site_fract_x
_atom_site_fract_y
_atom_site_fract_z
La1 0.0000 0.2436 0.0000
La2 0.0000 0.3987 0.6361
La3 0.3333 0.6667 0.3442
Ru1 0.0000 0.0000 0.2318
Ru2 0.0000 0.3552 0.3281
O1 0.0000 0.1573 0.3436
O2 0.0000 0.1582 0.6211
O3 0.0000 0.4422 0.8525
O4 0.1585 0.4551 0.1941
O5 0.1637 0.4366 0.4599
# final energy	-555.3	eV for the cell shown
# raw formation energy	-245.4	kJ per mole of atoms

***

(4)
# SrLaRu2O6 PBEsol optimized geometry
data_SrLaRu2O6
_chemical_formula_sum 'Sr2 La2 Ru4 O12'
_space_group_name_H-M_alt 'P m n 21'
_space_group_IT_number 31
_space_group_name_Hall 'P 2ac -2'
_cell_length_a 7.814
_cell_length_b 5.601
_cell_length_c 5.516
_cell_angle_alpha 90.00
_cell_angle_beta 90.00
_cell_angle_gamma 90.00
loop_
_atom_site_label
_atom_site_fract_x
_atom_site_fract_y
_atom_site_fract_z
Sr1 0.000 0.207 0.000
La1 0.000 0.703 0.480
Ru1 0.250 0.249 0.492
O1 0.000 0.266 0.564
O2 0.000 0.759 0.907
O3 0.208 0.956 0.289
O4 0.210 0.463 0.203
# final energy	-158.5	eV for the cell shown
# raw formation energy	-195.2	kJ per mole of atoms

***

(5)
# Sr3La3Zn2RuO12 PBEsol optimized geometry
data_Sr3La3Zn2RuO12
_chemical_formula_sum 'Sr6 La6 Zn4 Ru2 O24'
_space_group_name_H-M_alt 'C 1 m 1'
_space_group_IT_number 8
_space_group_name_Hall 'C -2y'
_cell_length_a 12.575
_cell_length_b 5.505
_cell_length_c 10.389
_cell_angle_alpha 90.00
_cell_angle_beta 126.96
_cell_angle_gamma 90.00
loop_
_atom_site_label
_atom_site_fract_x
_atom_site_fract_y
_atom_site_fract_z
Sr1 0.000 0.000 0.000
Sr2 0.051 0.000 0.669
Sr3 0.335 0.000 0.660
La1 0.156 0.500 0.313
La2 0.226 0.500 0.006
La3 0.373 0.000 0.304
Zn1 0.035 0.000 0.329
Zn2 0.364 0.000 0.992
Ru1 0.187 0.500 0.659
O1 0.041 0.500 0.684
O2 0.042 0.500 0.003
O3 0.092 0.258 0.493
O4 0.194 0.000 0.008
O5 0.210 0.000 0.344
O6 0.275 0.255 0.821
O7 0.326 0.500 0.298
O8 0.333 0.500 0.634
O9 0.444 0.248 0.164
# final energy	-300.9	eV for the cell shown
# raw formation energy	-241.5	kJ per mole of atoms

***

(6)
# SrLaZnRuO6 PBEsol optimized geometry
data_SrLaZnRuO6
_chemical_formula_sum 'Sr2 La2 Zn2 Ru2 O12'
_space_group_name_H-M_alt 'P 1 c 1'
_space_group_IT_number 7
_space_group_name_Hall 'P -2yc'
_cell_length_a 5.552
_cell_length_b 5.614
_cell_length_c 9.605
_cell_angle_alpha 90.00
_cell_angle_beta 125.24
_cell_angle_gamma 90.00
loop_
_atom_site_label
_atom_site_fract_x
_atom_site_fract_y
_atom_site_fract_z
Sr1 0.000 0.214 0.000
La1 0.485 0.295 0.501
Zn1 0.744 0.244 0.251
Ru1 0.243 0.249 0.750
O1 0.005 0.460 0.786
O2 0.089 0.035 0.292
O3 0.414 0.477 0.211
O4 0.485 0.050 0.708
O5 0.552 0.271 0.992
O6 0.918 0.237 0.507
# final energy	-144.0	eV for the cell shown
# raw formation energy	-208.1	kJ per mole of atoms

***

(7)
# La2S2O PBEsol optimized geometry
data_La2S2O
_chemical_formula_sum 'La8 S8 O4'
_space_group_name_H-M_alt 'P 1 21/c 1'
_space_group_IT_number 14
_space_group_name_Hall '-P 2ybc'
_cell_length_a 8.586
_cell_length_b 7.254
_cell_length_c 7.093
_cell_angle_alpha 90.00
_cell_angle_beta 97.85
_cell_angle_gamma 90.00
loop_
_atom_site_label
_atom_site_fract_x
_atom_site_fract_y
_atom_site_fract_z
La1 0.085 0.127 0.308
La2 0.361 0.557 0.248
S1 0.170 0.656 0.550
S2 0.421 0.228 0.475
O1 0.117 0.088 0.650
# final energy	-153.2	eV for the cell shown
# excess energy over the best structure of this formula in the dataset	0.00	eV/f.u.
# raw formation energy	-262.1	kJ per mole of atoms

***

(8)
# La2S2O PBEsol optimized geometry
data_La2S2O
_chemical_formula_sum 'La8 S8 O4'
_space_group_name_H-M_alt 'P n m a'
_space_group_IT_number 62
_space_group_name_Hall '-P 2ac 2n'
_cell_length_a 15.617
_cell_length_b 4.049
_cell_length_c 7.034
_cell_angle_alpha 90.00
_cell_angle_beta 90.00
_cell_angle_gamma 90.00
loop_
_atom_site_label
_atom_site_fract_x
_atom_site_fract_y
_atom_site_fract_z
La1 0.038 0.250 0.210
La2 0.176 0.250 0.761
S1 0.110 0.750 0.511
S2 0.171 0.750 0.042
O1 0.034 0.250 0.864
# final energy	-153.0	eV for the cell shown
# excess energy over the best structure of this formula in the dataset	0.05	eV/f.u.
# raw formation energy	-261.1	kJ per mole of atoms

***

(9)
# LaSO3 PBEsol optimized geometry
data_LaSO3
_chemical_formula_sum 'La1 S1 O3'
_space_group_name_H-M_alt 'P m -3 m'
_space_group_IT_number 221
_space_group_name_Hall '-P 4 2 3'
_cell_length_a 4.528
_cell_length_b 4.528
_cell_length_c 4.528
_cell_angle_alpha 90.00
_cell_angle_beta 90.00
_cell_angle_gamma 90.00
loop_
_atom_site_label
_atom_site_fract_x
_atom_site_fract_y
_atom_site_fract_z
La1 0.000 0.000 0.000
S1 0.500 0.500 0.500
O1 0.000 0.000 0.500
# final energy	-27.8	eV for the cell shown
# raw formation energy	-44.5	kJ per mole of atoms

***

(10)
# LaSO2 PBEsol optimized geometry
data_LaSO2
_chemical_formula_sum 'La4 S4 O8'
_space_group_name_H-M_alt 'I -4 2 d'
_space_group_IT_number 122
_space_group_name_Hall 'I -4 2bw'
_cell_length_a 4.275
_cell_length_b 4.275
_cell_length_c 14.022
_cell_angle_alpha 90.00
_cell_angle_beta 90.00
_cell_angle_gamma 90.00
loop_
_atom_site_label
_atom_site_fract_x
_atom_site_fract_y
_atom_site_fract_z
La1 0.000 0.000 0.000
S1 0.000 0.000 0.500
O1 0.220 0.250 0.625
# final energy	-103.9	eV for the cell shown
# raw formation energy	-138.9	kJ per mole of atoms

***

(11)
# La4Si2S3O7 PBEsol optimized geometry
data_La4Si2S3O7
_chemical_formula_sum 'La32 Si16 S24 O56'
_space_group_name_H-M_alt 'I 41/a m d'
_space_group_IT_number 141
_cell_length_a 12.064
_cell_length_b 12.064
_cell_length_c 14.291
_cell_angle_alpha 90.00
_cell_angle_beta 90.00
_cell_angle_gamma 90.00
loop_
_space_group_symop_operation_xyz
'x,y,z'
'-x,-y,-z'
'-y+1/4,x+3/4,z+1/4'
'y+1/4,-x+3/4,-z+1/4'
'-x+1/2,-y,z+1/2'
'x+1/2,y,-z+1/2'
'y+1/4,-x+1/4,z+3/4'
'-y+1/4,x+1/4,-z+3/4'
'x,-y,-z'
'-x,y,z'
'-y+1/4,-x+1/4,-z+3/4'
'y+1/4,x+1/4,z+3/4'
'-x+1/2,y,-z+1/2'
'x+1/2,-y,z+1/2'
'y+1/4,x+3/4,-z+1/4'
'-y+1/4,-x+3/4,z+1/4'
'x+1/2,y+1/2,z+1/2'
'-x+1/2,-y+1/2,-z+1/2'
'-y+3/4,x+1/4,z+3/4'
'y+3/4,-x+1/4,-z+3/4'
'-x,-y+1/2,z'
'x,y+1/2,-z'
'y+3/4,-x+3/4,z+1/4'
'-y+3/4,x+3/4,-z+1/4'
'x+1/2,-y+1/2,-z+1/2'
'-x+1/2,y+1/2,z+1/2'
'-y+3/4,-x+3/4,-z+1/4'
'y+3/4,x+3/4,z+1/4'
'-x,y+1/2,-z'
'x,-y+1/2,z'
'y+3/4,x+1/4,-z+3/4'
'-y+3/4,-x+1/4,z+3/4'
loop_
_atom_site_label
_atom_site_fract_x
_atom_site_fract_y
_atom_site_fract_z
La1 0.000 0.013 0.343
La2 0.171 0.079 0.875
Si1 0.000 0.126 0.098
S1 0.000 0.250 0.375
S2 0.000 0.250 0.875
S3 0.149 0.000 0.500
O1 0.000 0.024 0.175
O2 0.000 0.250 0.146
O3 0.118 0.110 0.044
# final energy	-1041.5	eV for the cell shown
# raw formation energy	-285.9	kJ per mole of atoms

***

(12)
# La2SnS3O2 PBEsol optimized geometry
data_La2SnS3O2
_chemical_formula_sum 'La8 Sn4 S12 O8'
_space_group_name_H-M_alt 'P n m a'
_space_group_IT_number 62
_space_group_name_Hall '-P 2ac 2n'
_cell_length_a 5.817
_cell_length_b 18.930
_cell_length_c 5.794
_cell_angle_alpha 90.00
_cell_angle_beta 90.00
_cell_angle_gamma 90.00
loop_
_atom_site_label
_atom_site_fract_x
_atom_site_fract_y
_atom_site_fract_z
La1 0.248 0.064 0.002
Sn1 0.152 0.750 0.932
S1 0.235 0.750 0.511
S2 0.242 0.132 0.511
O1 0.001 0.001 0.749
# final energy	-223.8	eV for the cell shown
# raw formation energy	-209.2	kJ per mole of atoms

***

- Among the records above, which one has the lowest final energy?
  La4Si2S3O7